# BeReW2

BeReW2 at its PBEsol-relaxed geometry (SCAN, Alexandria).

Values from the calculation:
mass density	16.48	g cm⁻³
E_tot	-427.5	eV per cell

Cell: 5.326 7.721 2.758 Å, 90.00 90.00 90.00°
Space group Cmmm (No. 65)
Asymmetric unit:
Be (0.000, 0.000, 0.000) [2 per cell]
Re (0.000, 0.500, 0.000) [2 per cell]
W (0.250, 0.250, 0.500) [4 per cell]